Record 1
First-principles (PBE) data for an optimized crystal structure of KZnPt2, as listed in the Alexandria database.

abc: 5.848 5.848 5.848
angles: 151.58 126.48 61.70
Element x y z (fractional)
K1 0.000 0.000 0.000
Zn1 0.500 0.500 0.000
Pt1 0.291 0.791 0.500
Pt2 0.709 0.209 0.500

Results
final energy = -14.41 eV/cell
ρ = 10.82 Mg/m³
calculated formation energy = 0.01 eV per atom
space group = Immm, No. 71
V = 76 Å³/cell

---

Record 2
First-principles (PBE) data for an optimized crystal structure of KZn2Pt, as listed in the Alexandria database.

abc: 2.903 5.005 5.485
angles: 90.00 90.00 90.00
Element x y z (fractional)
K1 0.000 0.000 0.000
Zn1 0.000 0.500 0.500
Zn2 0.500 0.500 0.000
Pt1 0.500 0.000 0.500

Results
final energy = -8.77 eV/cell
ρ = 7.61 Mg/m³
calculated formation energy = 0.23 eV per atom
space group = Pmmm, No. 47
relative energy among the computed polymorphs = 0.5406 eV/atom
V = 80 Å³/cell

---

no.,density of states at the Fermi level (states/eV/f.u.)
1,2.3
2,1.3